Below is an optimized crystal structure of Ac4RuPt, with properties calculated at the PBE-GGA level.

## Properties
Energy   -34.853 eV for the cell shown
Offset from the most stable computed form   0.000 eV per atom

Unit cell a=4.4151 b=7.1208 c=7.6841 alpha=100.60 beta=90.00 gamma=108.06
Last column: nearest neighbours and their distance in Å.
Fractional coordinates of all 6 atoms:
1 Ru 0.0000 0.0000 0.5000  6 Ac 2.93-2.97
2 Ac 0.3820 0.7640 0.6178  2 Ru 2.97, 1 Pt 3.06
3 Ac 0.6180 0.2360 0.3822  2 Ru 2.97, 1 Pt 3.06
4 Ac 0.1179 0.2358 0.8627  1 Ru 2.93, 2 Pt 3.03
5 Pt 0.5000 0.0000 0.0000  6 Ac 3.03-3.06
6 Ac 0.8821 0.7642 0.1373  1 Ru 2.93, 2 Pt 3.03